Computed, not measured: a geometry-optimized SrCoF structure at the PBE with a Hubbard U level of DFT.

Calculated values
The density comes out at 4.1 g cm⁻³. The energy above the most stable polymorph in this dataset is 0.7943 eV/atom.

Unit cell a=6.4521 b=6.4521 c=6.4521 alpha=90.00 beta=90.00 gamma=90.00
Closest atoms and distances in Å follow each position.
Space group F-43m (No. 216)
Symmetry-distinct sites (fractional):
Sr 0.0000 0.0000 0.0000  4 F 2.79
Co 0.0000 0.0000 0.5000  4 F 2.79
F 0.2500 0.2500 0.7500  4 Co 2.79, 4 Sr 2.79